Model w:
An optimized crystal structure of LiCaCr3, computed with PBE.

Cell lengths 5.4362, 5.4362, 5.4362 Å; angles 90.00, 90.00, 90.00 degrees
With the nearest neighbours (Å) after each atom.
Element x y z (fractional)
Cr 0.0000 0.5000 0.0000  2 Ca 2.72
Li 0.5000 0.5000 0.5000  12 Cr 3.84
Ca 0.0000 0.0000 0.0000  6 Cr 2.72
Cr 0.0000 0.0000 0.5000  2 Ca 2.72
Cr 0.5000 0.0000 0.0000  2 Ca 2.72

Values from the calculation:
As for the symmetry: Pm-3m.



Model x:
An optimized crystal structure of LiCaCr3, computed with PBE.

Cell lengths 4.7866, 4.7866, 4.7866 Å; angles 90.00, 90.00, 90.00 degrees
With the nearest neighbours (Å) after each atom.
Element x y z (fractional)
Cr 0.0000 0.0000 0.5000  2 Li 2.39
Cr 0.5000 0.0000 0.0000  2 Li 2.39
Cr 0.0000 0.5000 0.0000  2 Li 2.39
Ca 0.5000 0.5000 0.5000  12 Cr 3.38
Li 0.0000 0.0000 0.0000  6 Cr 2.39

Values from the calculation:
As for the symmetry: Pm-3m.



Preferred: model x; penalty for the next structure: 0.787 eV/atom.



Model w:
An optimized crystal structure of LiCaCr2, computed with PBE.

Cell lengths 4.3159, 4.3159, 5.8491 Å; angles 68.32, 68.32, 60.01 degrees
With the nearest neighbours (Å) after each atom.
Element x y z (fractional)
Li 0.4677 0.4677 0.5968  6 Cr 2.74-2.84
Cr 0.0491 0.0491 0.8527  3 Cr 2.50
Cr 0.7285 0.7285 0.8145  3 Cr 2.50, 3 Li 2.74-2.75
Ca 0.2547 0.2547 0.2360  4 Li 3.14-3.38, 7 Cr 3.21-3.34

Values from the calculation:
As for the symmetry: R3m.



Model x:
An optimized crystal structure of LiCaCr2, computed with PBE.

Cell lengths 4.9808, 3.5743, 3.5743 Å; angles 90.00, 90.00, 90.00 degrees
With the nearest neighbours (Å) after each atom.
Element x y z (fractional)
Cr 0.0000 0.0000 0.0000  4 Cr 2.53
Ca 0.5000 0.0000 0.5000  4 Li 2.53
Cr 0.0000 0.5000 0.5000  4 Cr 2.53
Li 0.5000 0.5000 0.0000  4 Ca 2.53

Values from the calculation:
As for the symmetry: P4/mmm.



Model y:
An optimized crystal structure of LiCaCr2, computed with PBE.

Cell lengths 4.8359, 4.8359, 4.8359 Å; angles 120.13, 120.13, 89.78 degrees
With the nearest neighbours (Å) after each atom.
Element x y z (fractional)
Cr 0.2500 0.7500 0.5000  4 Li 2.96, 4 Cr 2.96
Ca 0.7500 0.2500 0.5000  4 Li 2.96, 4 Cr 2.96
Cr 0.0000 0.0000 0.0000  4 Cr 2.96, 4 Ca 2.96
Li 0.5000 0.5000 0.0000  4 Ca 2.96, 4 Cr 2.96

Values from the calculation:
As for the symmetry: I-4m2.



Preferred: model w; penalty for the next structure: 0.048 eV/atom.



Model w:
An optimized crystal structure of LiCaCr2, computed with PBE.

Cell lengths 5.3836, 5.3836, 3.3079 Å; angles 90.00, 90.00, 107.50 degrees
With the nearest neighbours (Å) after each atom.
Element x y z (fractional)
Li 0.5000 0.0000 0.5000  8 Cr 3.16, 2 Ca 3.18, 2 Li 3.31
Ca 0.0000 0.5000 0.5000  8 Cr 3.16, 2 Li 3.18, 2 Ca 3.31
Cr 0.0000 0.0000 0.0000  4 Ca 3.16, 4 Li 3.16, 4 Cr 3.18-3.31
Cr 0.5000 0.5000 0.0000  4 Li 3.16, 4 Ca 3.16, 4 Cr 3.18-3.31

Values from the calculation:
As for the symmetry: Cmmm.



Model x:
An optimized crystal structure of LiCaCr2, computed with PBE.

Cell lengths 5.0343, 5.0343, 5.0343 Å; angles 60.00, 60.00, 60.00 degrees
With the nearest neighbours (Å) after each atom.
Element x y z (fractional)
Li 0.5000 0.5000 0.5000  8 Cr 3.08
Cr 0.7500 0.7500 0.7500  4 Li 3.08, 4 Ca 3.08
Ca 0.0000 0.0000 0.0000  8 Cr 3.08
Cr 0.2500 0.2500 0.2500  4 Li 3.08, 4 Ca 3.08

Values from the calculation:
As for the symmetry: Fm-3m.



Preferred: model x; penalty for the next structure: 0.013 eV/atom.



Model w:
An optimized crystal structure of LiCaCr2, computed with PBE.

Cell lengths 4.0609, 4.0609, 10.3155 Å; angles 78.65, 78.65, 90.00 degrees
With the nearest neighbours (Å) after each atom.
Element x y z (fractional)
Ca 0.0000 0.0000 0.0000  4 Li 2.87
Cr 0.3750 0.6250 0.2500  2 Cr 2.03
Ca 0.7500 0.2500 0.5000  4 Li 2.87
Cr 0.8750 0.6250 0.7500  2 Cr 2.03
Cr 0.3750 0.6250 0.7500  2 Cr 2.03
Li 0.5000 0.5000 0.0000  4 Cr 2.68, 4 Ca 2.87
Cr 0.3750 0.1250 0.2500  2 Cr 2.03
Li 0.2500 0.7500 0.5000  4 Cr 2.68, 4 Ca 2.87

Values from the calculation:
As for the symmetry: I4_1/amd.



Model x:
An optimized crystal structure of LiCaCr2, computed with PBE.

Cell lengths 3.2112, 3.1961, 8.3520 Å; angles 67.37, 90.00, 90.00 degrees
With the nearest neighbours (Å) after each atom.
Element x y z (fractional)
Cr 0.5000 0.2977 0.2023  4 Cr 2.46
Li 0.0000 0.5632 0.4370  5 Cr 2.78-2.90
Cr 0.0000 0.9230 0.0769  4 Cr 2.46
Ca 0.5000 0.7161 0.7839  4 Ca 3.20-3.21, 5 Cr 3.20-3.23, 4 Li 3.50-3.51

Values from the calculation:
As for the symmetry: Pm.



Preferred: model x; penalty for the next structure: 0.689 eV/atom.



Model w:
An optimized crystal structure of LiCaCr2, computed with PBE.

Cell lengths 5.8574, 5.8574, 3.1051 Å; angles 77.80, 77.80, 118.46 degrees
With the nearest neighbours (Å) after each atom.
Element x y z (fractional)
Ca 0.0000 0.5000 0.5000  4 Li 3.00-3.31, 4 Cr 3.01, 2 Ca 3.11
Li 0.5000 0.0000 0.5000  4 Ca 3.00-3.31, 4 Cr 3.01, 2 Li 3.11
Cr 0.0000 0.0000 0.0000  6 Cr 3.00-3.31, 2 Li 3.01, 2 Ca 3.01
Cr 0.5000 0.5000 0.0000  6 Cr 3.00-3.31, 2 Ca 3.01, 2 Li 3.01

Values from the calculation:
As for the symmetry: C2/m.



Model x:
An optimized crystal structure of LiCaCr2, computed with PBE.

Cell lengths 10.0632, 10.0632, 10.0632 Å; angles 18.31, 18.31, 18.31 degrees
With the nearest neighbours (Å) after each atom.
Element x y z (fractional)
Li 0.2500 0.2500 0.2500  6 Cr 2.96, 6 Li 3.20
Cr 0.9947 0.9947 0.9947  3 Li 2.96, 6 Cr 3.20, 3 Ca 3.21
Ca 0.7500 0.7500 0.7500  6 Ca 3.20, 6 Cr 3.21
Cr 0.5053 0.5053 0.5053  3 Li 2.96, 6 Cr 3.20, 3 Ca 3.21

Values from the calculation:
As for the symmetry: R-3m.



Preferred: model w; penalty for the next structure: 0.047 eV/atom.



Model w:
An optimized crystal structure of LiCaCr2, computed with PBE.

Cell lengths 3.4067, 3.4230, 8.2406 Å; angles 65.40, 90.00, 90.00 degrees
With the nearest neighbours (Å) after each atom.
Element x y z (fractional)
Ca 0.5000 0.7500 0.7500  8 Cr 3.27-3.28, 4 Ca 3.41-3.42
Cr 0.0000 0.5453 0.4548  4 Li 2.86, 1 Cr 3.07
Cr 0.0000 0.9547 0.0452  4 Li 2.86, 1 Cr 3.07
Li 0.5000 0.2500 0.2500  8 Cr 2.86

Values from the calculation:
As for the symmetry: P2/m.



Model x:
An optimized crystal structure of LiCaCr2, computed with PBE.

Cell lengths 5.6356, 5.6356, 5.6356 Å; angles 149.44, 136.73, 53.90 degrees
With the nearest neighbours (Å) after each atom.
Element x y z (fractional)
Cr 0.4846 0.4846 0.0000  4 Cr 2.57, 2 Li 2.79
Li 0.2500 0.7500 0.5000  4 Ca 2.55, 4 Cr 2.79
Ca 0.7500 0.2500 0.5000  4 Li 2.55
Cr 0.0154 0.0154 0.0000  4 Cr 2.57, 2 Li 2.79

Values from the calculation:
As for the symmetry: Immm.



Preferred: model w; penalty for the next structure: 0.080 eV/atom.